This record from Alexandria via LeMat-Bulk describes a geometry-optimized PaAlTe4 structure. The functional is PBE-GGA.

crystal system = monoclinic
electronic total energy = -29.1 eV per formula unit
Fermi-level density of states = 0.7 states/eV/f.u.
symmetry = C2/c (15)
formation energy from raw total energies = -0.546 eV/atom

abc: 7.301 7.029 8.621
angles: 108.91 110.06 101.37
Fractional coordinates of all 12 atoms:
Pa 0.364 0.614 0.228
Pa 0.636 0.386 0.772
Al 0.077 0.827 0.654
Al 0.923 0.173 0.346
Te 0.933 0.288 0.068
Te 0.635 0.780 0.068
Te 0.289 0.543 0.569
Te 0.711 0.457 0.431
Te 0.220 0.974 0.431
Te 0.365 0.220 0.932
Te 0.780 0.026 0.569
Te 0.067 0.712 0.932